A.
Compound: Pr12Y7Ho
Source: the Alexandria database
Functional: PBE
Structure: relaxed

Summary:
Volume   2158.5 Å³ per cell
Fermi-level density of states   85.03 states/eV per cell

Cell and atoms, written as CIF:
```
data_Pr12Y7Ho
_chemical_formula_sum 'Pr36 Y21 Ho3'
_cell_length_a 19.0565
_cell_length_b 19.0565
_cell_length_c 6.8633
_cell_angle_alpha 90.00
_cell_angle_beta 90.00
_cell_angle_gamma 120.00
_symmetry_space_group_name_H-M 'R -3'
_symmetry_Int_Tables_number 148
_symmetry_space_group_name_Hall '-R 3'
loop_
_atom_site_label
_atom_site_type_symbol
_atom_site_fract_x
_atom_site_fract_y
_atom_site_fract_z
Pr1 Pr 0.0008 0.2104 0.2880
Pr2 Pr 0.0063 0.5362 0.7429
Y1 Y 0.0000 0.0000 0.5000
Y2 Y 0.0072 0.1539 0.7802
Ho1 Ho 0.0000 0.0000 0.0000
```

B.
Compound: Pr12Y7Ho
Source: the Alexandria database
Functional: PBE
Structure: relaxed

Summary:
Volume   2111.1 Å³ per cell
Fermi-level density of states   117.69 states/eV per cell

Cell and atoms, written as CIF:
```
data_Pr12Y7Ho
_chemical_formula_sum 'Pr36 Y21 Ho3'
_cell_length_a 12.4376
_cell_length_b 12.4376
_cell_length_c 15.7579
_cell_angle_alpha 90.00
_cell_angle_beta 90.00
_cell_angle_gamma 120.00
_symmetry_space_group_name_H-M 'R -3'
_symmetry_Int_Tables_number 148
_symmetry_space_group_name_Hall '-R 3'
loop_
_atom_site_label
_atom_site_type_symbol
_atom_site_fract_x
_atom_site_fract_y
_atom_site_fract_z
Pr1 Pr 0.0200 0.5741 0.2192
Pr2 Pr 0.0602 0.4680 0.5806
Y1 Y 0.0000 0.0000 0.0000
Y2 Y 0.0523 0.8662 0.3008
Ho1 Ho 0.0000 0.0000 0.5000
```

Sorted by energy, starting with the most stable: B, A.

A.
Compound: Pr5YHo3
Source: the Alexandria database
Functional: PBE
Structure: relaxed

Summary:
Volume   1276.4 Å³ per cell
Fermi-level density of states   50.74 states/eV per cell

Cell and atoms, written as CIF:
```
data_Pr5YHo3
_chemical_formula_sum 'Pr20 Y4 Ho12'
_cell_length_a 20.3540
_cell_length_b 6.3382
_cell_length_c 11.8198
_cell_angle_alpha 90.00
_cell_angle_beta 123.17
_cell_angle_gamma 90.00
_symmetry_space_group_name_H-M 'C 1 2/c 1'
_symmetry_Int_Tables_number 15
loop_
_symmetry_equiv_pos_as_xyz
'x,y,z'
'-x,-y,-z'
'-x,y,-z+1/2'
'x,-y,z+1/2'
'x+1/2,y+1/2,z'
'-x+1/2,-y+1/2,-z'
'-x+1/2,y+1/2,-z+1/2'
'x+1/2,-y+1/2,z+1/2'
loop_
_atom_site_label
_atom_site_type_symbol
_atom_site_fract_x
_atom_site_fract_y
_atom_site_fract_z
Pr1 Pr 0.0000 0.0929 0.2500
Pr2 Pr 0.1385 0.1714 0.6589
Pr3 Pr 0.1802 0.3238 0.3305
Y1 Y 0.0000 0.3963 0.7500
Ho1 Ho 0.0000 0.5000 0.0000
Ho2 Ho 0.1763 0.2787 0.0262
```

B.
Compound: Pr5YHo3
Source: the Alexandria database
Functional: PBE
Structure: relaxed

Summary:
Volume   1388.2 Å³ per cell
Fermi-level density of states   56.33 states/eV per cell

Cell and atoms, written as CIF:
```
data_Pr5YHo3
_chemical_formula_sum 'Pr20 Y4 Ho12'
_cell_length_a 15.3698
_cell_length_b 11.7489
_cell_length_c 9.9986
_cell_angle_alpha 90.00
_cell_angle_beta 129.75
_cell_angle_gamma 90.00
_symmetry_space_group_name_H-M 'C 1 2/m 1'
_symmetry_Int_Tables_number 12
loop_
_symmetry_equiv_pos_as_xyz
'x,y,z'
'-x,-y,-z'
'-x,y,-z'
'x,-y,z'
'x+1/2,y+1/2,z'
'-x+1/2,-y+1/2,-z'
'-x+1/2,y+1/2,-z'
'x+1/2,-y+1/2,z'
loop_
_atom_site_label
_atom_site_type_symbol
_atom_site_fract_x
_atom_site_fract_y
_atom_site_fract_z
Pr1 Pr 0.0000 0.2460 0.0000
Pr2 Pr 0.1431 0.2496 0.7416
Pr3 Pr 0.2300 0.0000 0.2378
Pr4 Pr 0.2492 0.0000 0.5871
Y1 Y 0.2288 0.5000 0.0512
Ho1 Ho 0.0000 0.0000 0.5000
Ho2 Ho 0.0000 0.5000 0.0000
Ho3 Ho 0.0063 0.0000 0.8234
Ho4 Ho 0.0133 0.5000 0.3505
```

Sorted by energy, starting with the most stable: A, B.

A.
Compound: Pr4Y8Ho3
Source: the Alexandria database
Functional: PBE
Structure: relaxed

Summary:
Volume   1031.3 Å³ per cell
Fermi-level density of states   60.80 states/eV per cell

Cell and atoms, written as CIF:
```
data_Pr4Y8Ho3
_chemical_formula_sum 'Pr8 Y16 Ho6'
_cell_length_a 13.5469
_cell_length_b 12.9157
_cell_length_c 6.8066
_cell_angle_alpha 90.00
_cell_angle_beta 120.01
_cell_angle_gamma 90.00
_symmetry_space_group_name_H-M 'C 1 2/m 1'
_symmetry_Int_Tables_number 12
loop_
_symmetry_equiv_pos_as_xyz
'x,y,z'
'-x,-y,-z'
'-x,y,-z'
'x,-y,z'
'x+1/2,y+1/2,z'
'-x+1/2,-y+1/2,-z'
'-x+1/2,y+1/2,-z'
'x+1/2,-y+1/2,z'
loop_
_atom_site_label
_atom_site_type_symbol
_atom_site_fract_x
_atom_site_fract_y
_atom_site_fract_z
Pr1 Pr 0.0000 0.0000 0.0000
Pr2 Pr 0.0000 0.0000 0.5000
Pr3 Pr 0.2500 0.2500 0.0000
Y1 Y 0.0000 0.2552 0.0000
Y2 Y 0.0000 0.3603 0.5000
Y3 Y 0.2290 0.5000 0.9621
Y4 Y 0.2329 0.5000 0.4856
Ho1 Ho 0.0000 0.5000 0.0000
Ho2 Ho 0.2500 0.2500 0.5000
```

B.
Compound: Pr4Y8Ho3
Source: the Alexandria database
Functional: PBE
Structure: relaxed

Summary:
Volume   1521.9 Å³ per cell
Fermi-level density of states   69.78 states/eV per cell

Cell and atoms, written as CIF:
```
data_Pr4Y8Ho3
_chemical_formula_sum 'Pr12 Y24 Ho9'
_cell_length_a 7.0147
_cell_length_b 7.0147
_cell_length_c 35.7133
_cell_angle_alpha 90.00
_cell_angle_beta 90.00
_cell_angle_gamma 120.00
_symmetry_space_group_name_H-M 'R -3 m'
_symmetry_Int_Tables_number 166
_symmetry_space_group_name_Hall '-R 3 2"'
loop_
_atom_site_label
_atom_site_type_symbol
_atom_site_fract_x
_atom_site_fract_y
_atom_site_fract_z
Pr1 Pr 0.0000 0.0000 0.0000
Pr2 Pr 0.0000 0.0000 0.1638
Pr3 Pr 0.0000 0.0000 0.5000
Y1 Y 0.0000 0.0000 0.2555
Y2 Y 0.0017 0.5009 0.2511
Ho1 Ho 0.0000 0.5000 0.0000
```

Sorted by energy, starting with the most stable: B, A.

A.
Compound: Pr6YHo3
Source: the Alexandria database
Functional: PBE
Structure: relaxed

Summary:
Volume   712.6 Å³ per cell
Fermi-level density of states   29.86 states/eV per cell

Cell and atoms, written as CIF:
```
data_Pr6YHo3
_chemical_formula_sum 'Pr12 Y2 Ho6'
_cell_length_a 5.5649
_cell_length_b 10.3628
_cell_length_c 12.5730
_cell_angle_alpha 90.00
_cell_angle_beta 100.65
_cell_angle_gamma 90.00
_symmetry_space_group_name_H-M 'P 1 21/c 1'
_symmetry_Int_Tables_number 14
loop_
_symmetry_equiv_pos_as_xyz
'x,y,z'
'-x,-y,-z'
'-x,y+1/2,-z+1/2'
'x,-y+1/2,z+1/2'
loop_
_atom_site_label
_atom_site_type_symbol
_atom_site_fract_x
_atom_site_fract_y
_atom_site_fract_z
Pr1 Pr 0.0074 0.1842 0.0059
Pr2 Pr 0.1028 0.0057 0.7701
Pr3 Pr 0.4223 0.1717 0.3545
Y1 Y 0.0000 0.0000 0.5000
Ho1 Ho 0.4241 0.6681 0.8661
Ho2 Ho 0.5000 0.0000 0.0000
```

B.
Compound: Pr6YHo3
Source: the Alexandria database
Functional: PBE
Structure: relaxed

Summary:
Volume   1381.2 Å³ per cell
Fermi-level density of states   57.86 states/eV per cell

Cell and atoms, written as CIF:
```
data_Pr6YHo3
_chemical_formula_sum 'Pr24 Y4 Ho12'
_cell_length_a 10.8646
_cell_length_b 19.6108
_cell_length_c 6.4824
_cell_angle_alpha 90.00
_cell_angle_beta 90.00
_cell_angle_gamma 90.00
_symmetry_space_group_name_H-M 'C m c 21'
_symmetry_Int_Tables_number 36
loop_
_symmetry_equiv_pos_as_xyz
'x,y,z'
'-x,-y,z+1/2'
'-x,y,z'
'x,-y,z+1/2'
'x+1/2,y+1/2,z'
'-x+1/2,-y+1/2,z+1/2'
'-x+1/2,y+1/2,z'
'x+1/2,-y+1/2,z+1/2'
loop_
_atom_site_label
_atom_site_type_symbol
_atom_site_fract_x
_atom_site_fract_y
_atom_site_fract_z
Pr1 Pr 0.0000 0.0290 0.0000
Pr2 Pr 0.0000 0.2829 0.7911
Pr3 Pr 0.1750 0.4542 0.6714
Pr4 Pr 0.2188 0.2860 0.4648
Y1 Y 0.0000 0.1844 0.2112
Ho1 Ho 0.0000 0.3897 0.2062
Ho2 Ho 0.1665 0.1155 0.6050
```

Sorted by energy, starting with the most stable: B, A.

A.
Compound: PrY3Ho5
Source: the Alexandria database
Functional: PBE
Structure: relaxed

Summary:
Volume   1207.0 Å³ per cell
Fermi-level density of states   56.83 states/eV per cell

Cell and atoms, written as CIF:
```
data_PrY3Ho5
_chemical_formula_sum 'Pr4 Y12 Ho20'
_cell_length_a 19.1645
_cell_length_b 6.0476
_cell_length_c 11.3230
_cell_angle_alpha 90.00
_cell_angle_beta 113.12
_cell_angle_gamma 90.00
_symmetry_space_group_name_H-M 'C 1 2/c 1'
_symmetry_Int_Tables_number 15
loop_
_symmetry_equiv_pos_as_xyz
'x,y,z'
'-x,-y,-z'
'-x,y,-z+1/2'
'x,-y,z+1/2'
'x+1/2,y+1/2,z'
'-x+1/2,-y+1/2,-z'
'-x+1/2,y+1/2,-z+1/2'
'x+1/2,-y+1/2,z+1/2'
loop_
_atom_site_label
_atom_site_type_symbol
_atom_site_fract_x
_atom_site_fract_y
_atom_site_fract_z
Pr1 Pr 0.0000 0.0924 0.2500
Y1 Y 0.0000 0.0000 0.0000
Y2 Y 0.1772 0.2341 0.3627
Ho1 Ho 0.0000 0.4142 0.7500
Ho2 Ho 0.1632 0.2565 0.6963
Ho3 Ho 0.1698 0.2557 0.0296
```

B.
Compound: PrY3Ho5
Source: the Alexandria database
Functional: PBE
Structure: relaxed

Summary:
Volume   1250.3 Å³ per cell
Fermi-level density of states   56.54 states/eV per cell

Cell and atoms, written as CIF:
```
data_PrY3Ho5
_chemical_formula_sum 'Pr4 Y12 Ho20'
_cell_length_a 16.8352
_cell_length_b 7.9706
_cell_length_c 12.2713
_cell_angle_alpha 90.00
_cell_angle_beta 130.60
_cell_angle_gamma 90.00
_symmetry_space_group_name_H-M 'C 1 2/m 1'
_symmetry_Int_Tables_number 12
loop_
_symmetry_equiv_pos_as_xyz
'x,y,z'
'-x,-y,-z'
'-x,y,-z'
'x,-y,z'
'x+1/2,y+1/2,z'
'-x+1/2,-y+1/2,-z'
'-x+1/2,y+1/2,-z'
'x+1/2,-y+1/2,z'
loop_
_atom_site_label
_atom_site_type_symbol
_atom_site_fract_x
_atom_site_fract_y
_atom_site_fract_z
Pr1 Pr 0.2367 0.0000 0.1293
Y1 Y 0.0000 0.0000 0.0000
Y2 Y 0.0000 0.5000 0.5000
Y3 Y 0.1200 0.5000 0.3129
Y4 Y 0.1748 0.0000 0.3427
Ho1 Ho 0.0000 0.3207 0.0000
Ho2 Ho 0.0645 0.2056 0.7804
Ho3 Ho 0.1222 0.0000 0.5654
Ho4 Ho 0.2007 0.5000 0.0726
```

Sorted by energy, starting with the most stable: A, B.

A.
Compound: PrY7Ho3
Source: the Alexandria database
Functional: PBE
Structure: relaxed

Summary:
Volume   364.1 Å³ per cell
Fermi-level density of states   18.65 states/eV per cell

Cell and atoms, written as CIF:
```
data_PrY7Ho3
_chemical_formula_sum 'Pr1 Y7 Ho3'
_cell_length_a 6.9344
_cell_length_b 5.5723
_cell_length_c 9.9746
_cell_angle_alpha 90.00
_cell_angle_beta 109.13
_cell_angle_gamma 90.00
_symmetry_space_group_name_H-M 'P 1 2/m 1'
_symmetry_Int_Tables_number 10
loop_
_symmetry_equiv_pos_as_xyz
'x,y,z'
'-x,-y,-z'
'-x,y,-z'
'x,-y,z'
loop_
_atom_site_label
_atom_site_type_symbol
_atom_site_fract_x
_atom_site_fract_y
_atom_site_fract_z
Pr1 Pr 0.0000 0.0000 0.0000
Y1 Y 0.0000 0.0000 0.5000
Y2 Y 0.1480 0.5000 0.7882
Y3 Y 0.3238 0.5000 0.1406
Y4 Y 0.4266 0.0000 0.3316
Ho1 Ho 0.2764 0.5000 0.4956
Ho2 Ho 0.5000 0.0000 0.0000
```

B.
Compound: PrY7Ho3
Source: the Alexandria database
Functional: PBE
Structure: relaxed

Summary:
Volume   376.7 Å³ per cell
Fermi-level density of states   18.42 states/eV per cell

Cell and atoms, written as CIF:
```
data_PrY7Ho3
_chemical_formula_sum 'Pr1 Y7 Ho3'
_cell_length_a 7.1014
_cell_length_b 7.1014
_cell_length_c 8.6260
_cell_angle_alpha 90.00
_cell_angle_beta 90.00
_cell_angle_gamma 120.00
_symmetry_space_group_name_H-M 'P 3 m 1'
_symmetry_Int_Tables_number 156
loop_
_symmetry_equiv_pos_as_xyz
'x,y,z'
'-y,x-y,z'
'-x+y,-x,z'
'-y,-x,z'
'-x+y,y,z'
'x,x-y,z'
loop_
_atom_site_label
_atom_site_type_symbol
_atom_site_fract_x
_atom_site_fract_y
_atom_site_fract_z
Pr1 Pr 0.0000 0.0000 0.0000
Y1 Y 0.0022 0.5011 0.0022
Y2 Y 0.3312 0.1656 0.6669
Y3 Y 0.3333 0.6667 0.6691
Ho1 Ho 0.1672 0.3343 0.3362
```

Sorted by energy, starting with the most stable: A, B.

A.
Compound: Pr2Y4Ho5
Source: the Alexandria database
Functional: PBE
Structure: relaxed

Summary:
Volume   723.1 Å³ per cell
Fermi-level density of states   43.02 states/eV per cell

Cell and atoms, written as CIF:
```
data_Pr2Y4Ho5
_chemical_formula_sum 'Pr4 Y8 Ho10'
_cell_length_a 23.9057
_cell_length_b 3.4714
_cell_length_c 8.7665
_cell_angle_alpha 90.00
_cell_angle_beta 96.33
_cell_angle_gamma 90.00
_symmetry_space_group_name_H-M 'C 1 2/m 1'
_symmetry_Int_Tables_number 12
loop_
_symmetry_equiv_pos_as_xyz
'x,y,z'
'-x,-y,-z'
'-x,y,-z'
'x,-y,z'
'x+1/2,y+1/2,z'
'-x+1/2,-y+1/2,-z'
'-x+1/2,y+1/2,-z'
'x+1/2,-y+1/2,z'
loop_
_atom_site_label
_atom_site_type_symbol
_atom_site_fract_x
_atom_site_fract_y
_atom_site_fract_z
Pr1 Pr 0.0931 0.0000 0.2470
Y1 Y 0.0455 0.0000 0.8603
Y2 Y 0.1785 0.5000 0.9743
Ho1 Ho 0.0000 0.5000 0.5000
Ho2 Ho 0.1416 0.0000 0.6236
Ho3 Ho 0.2340 0.0000 0.3275
```

B.
Compound: Pr2Y4Ho5
Source: the Alexandria database
Functional: PBE
Structure: relaxed

Summary:
Volume   744.0 Å³ per cell
Fermi-level density of states   33.62 states/eV per cell

Cell and atoms, written as CIF:
```
data_Pr2Y4Ho5
_chemical_formula_sum 'Pr4 Y8 Ho10'
_cell_length_a 3.5113
_cell_length_b 9.0647
_cell_length_c 23.3766
_cell_angle_alpha 90.00
_cell_angle_beta 90.00
_cell_angle_gamma 90.00
_symmetry_space_group_name_H-M 'I m m m'
_symmetry_Int_Tables_number 71
_symmetry_space_group_name_Hall '-I 2 2'
loop_
_atom_site_label
_atom_site_type_symbol
_atom_site_fract_x
_atom_site_fract_y
_atom_site_fract_z
Pr1 Pr 0.0000 0.0000 0.2339
Y1 Y 0.0000 0.0000 0.0985
Y2 Y 0.0000 0.3100 0.5000
Ho1 Ho 0.0000 0.1922 0.3596
Ho2 Ho 0.0000 0.5000 0.0000
```

Sorted by energy, starting with the most stable: A, B.

A.
Compound: Pr8Y2Ho
Source: the Alexandria database
Functional: PBE
Structure: relaxed

Summary:
Volume   781.6 Å³ per cell
Fermi-level density of states   29.43 states/eV per cell

Cell and atoms, written as CIF:
```
data_Pr8Y2Ho
_chemical_formula_sum 'Pr16 Y4 Ho2'
_cell_length_a 9.2501
_cell_length_b 16.7865
_cell_length_c 6.0495
_cell_angle_alpha 90.00
_cell_angle_beta 123.69
_cell_angle_gamma 90.00
_symmetry_space_group_name_H-M 'C 1 2/m 1'
_symmetry_Int_Tables_number 12
loop_
_symmetry_equiv_pos_as_xyz
'x,y,z'
'-x,-y,-z'
'-x,y,-z'
'x,-y,z'
'x+1/2,y+1/2,z'
'-x+1/2,-y+1/2,-z'
'-x+1/2,y+1/2,-z'
'x+1/2,-y+1/2,z'
loop_
_atom_site_label
_atom_site_type_symbol
_atom_site_fract_x
_atom_site_fract_y
_atom_site_fract_z
Pr1 Pr 0.0000 0.2047 0.0000
Pr2 Pr 0.0787 0.5000 0.7967
Pr3 Pr 0.2165 0.1182 0.6818
Y1 Y 0.0000 0.3101 0.5000
Ho1 Ho 0.0000 0.0000 0.0000
```

B.
Compound: Pr8Y2Ho
Source: the Alexandria database
Functional: PBE
Structure: relaxed

Summary:
Volume   782.8 Å³ per cell
Fermi-level density of states   32.74 states/eV per cell

Cell and atoms, written as CIF:
```
data_Pr8Y2Ho
_chemical_formula_sum 'Pr16 Y4 Ho2'
_cell_length_a 5.7757
_cell_length_b 8.3185
_cell_length_c 16.2940
_cell_angle_alpha 90.00
_cell_angle_beta 90.00
_cell_angle_gamma 90.00
_symmetry_space_group_name_H-M 'I m m m'
_symmetry_Int_Tables_number 71
_symmetry_space_group_name_Hall '-I 2 2'
loop_
_atom_site_label
_atom_site_type_symbol
_atom_site_fract_x
_atom_site_fract_y
_atom_site_fract_z
Pr1 Pr 0.0000 0.0000 0.1632
Pr2 Pr 0.0000 0.2039 0.3653
Pr3 Pr 0.0000 0.2913 0.0000
Y1 Y 0.0000 0.5000 0.2012
Ho1 Ho 0.0000 0.5000 0.5000
```

Sorted by energy, starting with the most stable: B, A.